(1)
AlCo2 | PBE | optimized geometry

a = 6.2458 Å, b = 6.2458 Å, c = 3.9975 Å
α = 90.00°, β = 90.00°, γ = 153.65°
Closest atoms and distances in Å follow each position.
Element x y z (fractional)
1 Al 0.0820 0.9180 0.7500  8 Co 2.45-2.50
2 Al 0.9180 0.0820 0.2500  8 Co 2.45-2.50
3 Co 0.2516 0.7484 0.2500  6 Co 2.45-2.46, 2 Al 2.47
4 Co 0.4133 0.5867 0.7500  6 Al 2.45-2.50, 2 Co 2.46
5 Co 0.5867 0.4133 0.2500  6 Al 2.45-2.50, 2 Co 2.46
6 Co 0.7484 0.2516 0.7500  6 Co 2.45-2.46, 2 Al 2.47

Formation energy: -90 kJ/mol of formula units
Space-group type: Cmcm
Volume: 11.54 A^3/atom

---

(2)
BaZr3Cr | PBE | optimized geometry

a = 5.2270 Å, b = 5.2270 Å, c = 5.2270 Å
α = 90.00°, β = 90.00°, γ = 90.00°
Closest atoms and distances in Å follow each position.
Element x y z (fractional)
1 Ba 0.0000 0.0000 0.0000  6 Zr 2.61
2 Zr 0.0000 0.0000 0.5000  2 Ba 2.61
3 Zr 0.0000 0.5000 0.0000  2 Ba 2.61
4 Zr 0.5000 0.0000 0.0000  2 Ba 2.61
5 Cr 0.5000 0.5000 0.5000  12 Zr 3.70

Formation energy: 1149 kJ/mol of formula units
Space-group type: Pm-3m
Volume: 28.56 A^3/atom
Relative energy among the computed polymorphs: 1815.4 meV per atom

---

| no. | total energy (Ha/atom) |
| --- | --- |
| 1 | -0.2313 |
| 2 | -0.1858 |